CrCdBrF2 GGA+U relaxed; final energy = -4.362 eV/atom; D(E_F) = 0.9 states/eV/cell
1.0
4.085 0.000 0.000
0.000 4.085 0.000
0.000 0.000 6.241
Br F Cr Cd
1 2 1 1
Direct
0.000 0.000 0.500 Br
0.500 0.000 0.000 F
0.000 0.500 0.000 F
0.000 0.000 0.000 Cr
0.500 0.500 0.500 Cd